This record from Alexandria describes BaRe3P after structural relaxation. The functional is PBEsol.

Properties
The calculation puts the energy relative to the elements at 5.54 eV/f.u.

a = 4.5735 Å, b = 4.5735 Å, c = 4.5735 Å
α = 90.00°, β = 90.00°, γ = 90.00°
Closest atoms and distances in Å follow each position.
Fractional coordinates of all 5 atoms:
1 Re 0.0000 0.0000 0.5000  2 P 2.29
2 Re 0.0000 0.5000 0.0000  2 P 2.29
3 Re 0.5000 0.0000 0.0000  2 P 2.29
4 Ba 0.5000 0.5000 0.5000  12 Re 3.23
5 P 0.0000 0.0000 0.0000  6 Re 2.29